A plane-wave DFT calculation with GGA-PBE was carried out for a relaxed LiCuBOs crystal. Values from VASP.

Summary:
The spin magnetization is 0.00 μB per cell. The energy above the lowest structure with this stoichiometry comes out at 0 meV/atom.

The structure in Quantum ESPRESSO input format:
```
&SYSTEM
  ibrav = 0, nat = 4, ntyp = 4
/
ATOMIC_SPECIES
Li 6.94 Li.upf
Cu 63.55 Cu.upf
B 10.81 B.upf
Os 190.23 Os.upf
ATOMIC_POSITIONS crystal
Li 0.000 0.000 0.000
Cu 0.750 0.750 0.750
B 0.500 0.500 0.500
Os 0.250 0.250 0.250
CELL_PARAMETERS angstrom
0.000 2.726 2.726
2.726 0.000 2.726
2.726 2.726 0.000
```